Record 1
FeSi2Rh | PBE-GGA | relaxed

The structure belongs to space group P4mm (No. 99); the cell edges are 2.691, 2.691 and 7.239 Å and the angles 90.00°, 90.00° and 90.00°. The asymmetric unit holds Fe at (0.000, 0.000, 0.000), Si at (0.000, 0.000, 0.484), Si at (0.500, 0.500, 0.782) and Rh at (0.500, 0.500, 0.257).

Its density of states at the Fermi level is 2.3 states/eV per cell. Its uncorrected formation energy is -0.07 eV per atom. As for the total energy: -0.4950 Ry/atom.

Record 2
Fe2SiRh | PBE-GGA | relaxed

The structure belongs to space group Pmmm (No. 47); the cell edges are 2.653, 3.765 and 4.977 Å and the angles 90.00°, 90.00° and 90.00°. The asymmetric unit holds Fe at (0.000, 0.000, 0.239), Si at (0.500, 0.500, 0.000) and Rh at (0.500, 0.500, 0.500).

Its density of states at the Fermi level is 2.9 states/eV per cell. Its uncorrected formation energy is -0.21 eV per atom. As for the total energy: -0.5611 Ry/atom.

Record 3
Fe2SiRh | PBE-GGA | relaxed

The structure belongs to space group Cm (No. 8); the cell edges are 8.575, 2.805 and 4.348 Å and the angles 90.00°, 108.80° and 90.00°. The asymmetric unit holds Fe at (0.000, 0.000, 0.000), Fe at (0.249, 0.500, 0.158), Si at (0.266, 0.000, 0.677) and Rh at (0.023, 0.500, 0.517).

Its density of states at the Fermi level is 6.3 states/eV per cell. Its uncorrected formation energy is -0.26 eV per atom. As for the total energy: -0.5649 Ry/atom.